# GePSN (GGA-PBE, optimized geometry)
# electronic total energy	-5.286	eV/atom
# ΔE_f (raw)	0.33	eV per atom
# total moment	0.0	μB per formula unit
data_GePSN
_cell_length_a 3.831
_cell_length_b 4.492
_cell_length_c 4.576
_cell_angle_alpha 107.21
_cell_angle_beta 95.10
_cell_angle_gamma 104.05
_symmetry_space_group_name_H-M 'P 1'
_symmetry_Int_Tables_number 1
_symmetry_space_group_name_Hall 'P 1'
loop_
_atom_site_label
_atom_site_type_symbol
_atom_site_fract_x
_atom_site_fract_y
_atom_site_fract_z
Ge1 Ge 0.000 0.000 0.000
P1 P 0.415 0.691 0.071
S1 S 0.912 0.344 0.474
N1 N 0.164 0.329 0.797